# 1
12
Lattice="7.7184 -2.8339 0.0000 7.7184 2.8339 0.0000 -5.6349 0.0000 10.7768" Properties=species:S:1:pos:R:3 comment="Tl4ICl7 (PBE, relaxed)" sg=C2/m e_form_raw_ev_per_atom=-0.704 total_energy_ev_per_cell=-32.4 pbc="T T T"
Tl -0.1569 0.0000 3.2873
Tl 5.5553 0.0000 0.4236
Tl 4.2466 0.0000 10.3532
Tl 9.9588 0.0000 7.4895
I 4.9009 0.0000 5.3884
Cl -2.8175 0.0000 5.3884
Cl -3.1976 0.0000 10.0067
Cl 2.3739 0.0000 5.2707
Cl 1.6227 0.0000 8.9073
Cl 8.1792 0.0000 1.8695
Cl 7.4279 0.0000 5.5061
Cl 12.9994 0.0000 0.7701

# 2
10
Lattice="4.7948 0.0000 0.0000 0.0000 4.7948 0.0000 0.0000 0.0000 14.8855" Properties=species:S:1:pos:R:3 comment="Tl2ICl2 (PBE, relaxed)" sg=I4/mmm e_form_raw_ev_per_atom=-0.594 total_energy_ev_per_cell=-25.9 pbc="T T T"
Tl 0.0000 0.0000 1.9729
Tl 0.0000 0.0000 12.9125
Tl 2.3974 2.3974 5.4698
Tl 2.3974 2.3974 9.4157
I 0.0000 0.0000 7.4427
I 2.3974 2.3974 0.0000
Cl 0.0000 2.3974 3.7214
Cl 0.0000 2.3974 11.1641
Cl 2.3974 0.0000 3.7214
Cl 2.3974 0.0000 11.1641

# 3
12
Lattice="8.6255 -4.5617 0.0000 8.6255 4.5617 0.0000 -0.0510 0.0000 5.9772" Properties=species:S:1:pos:R:3 comment="UTl3I2Cl6 (PBE, relaxed)" sg=C2/m e_form_raw_ev_per_atom=-1.196 total_energy_ev_per_cell=-46.9 pbc="T T T"
U 0.0000 0.0000 0.0000
Tl 4.3128 2.2808 0.0000
Tl 4.3128 -2.2808 0.0000
Tl 8.6000 0.0000 2.9886
I 5.2695 0.0000 3.6044
I 11.9305 0.0000 2.3729
Cl 2.0649 0.0000 1.4591
Cl 7.5023 2.7372 1.3783
Cl 9.6977 2.7372 4.5989
Cl 7.5023 -2.7372 1.3783
Cl 9.6977 -2.7372 4.5989
Cl 15.1350 0.0000 4.5181

# 4
18
Lattice="7.9057 0.0000 0.0000 -3.9528 6.8465 0.0000 0.0000 0.0000 15.6598" Properties=species:S:1:pos:R:3 comment="UTlICl6 (PBE, relaxed)" sg=P-31c e_form_raw_ev_per_atom=-1.225 total_energy_ev_per_cell=-74.6 pbc="T T T"
U 0.0000 4.5643 3.9149
U 3.9528 2.2822 11.7448
Tl 0.0000 4.5643 11.7448
Tl 3.9528 2.2822 3.9149
I 0.0000 0.0000 0.0000
I 0.0000 0.0000 7.8299
Cl -1.0788 2.7960 2.4643
Cl -2.0708 4.5142 5.3656
Cl 1.0788 2.7960 5.3656
Cl -0.9920 6.3828 2.4643
Cl 2.9608 0.4637 10.2942
Cl 1.8820 2.3323 13.1955
Cl 2.0708 4.5142 2.4643
Cl 0.9920 6.3828 5.3656
Cl 4.9449 0.4637 13.1955
Cl 2.8740 4.0505 10.2942
Cl 6.0237 2.3323 10.2942
Cl 5.0317 4.0505 13.1955

# 5
9
Lattice="8.9576 0.0000 0.0000 -4.4788 7.7575 0.0000 0.0000 0.0000 4.2364" Properties=species:S:1:pos:R:3 comment="UTl2I3Cl3 (PBE, relaxed)" sg=P-62m e_form_raw_ev_per_atom=-1.059 total_energy_ev_per_cell=-35.7 pbc="T T T"
U 0.0000 0.0000 0.0000
Tl 0.0000 5.1717 2.1182
Tl 4.4788 2.5858 2.1182
I -2.8089 4.8652 0.0000
I 1.6699 2.8923 0.0000
I 5.6178 0.0000 0.0000
Cl -0.9385 1.6255 2.1182
Cl 1.8770 0.0000 2.1182
Cl 3.5403 6.1319 2.1182

# 6
9
Lattice="6.7852 -3.6375 0.0000 6.7852 3.6375 0.0000 -1.4476 0.0000 7.6687" Properties=species:S:1:pos:R:3 comment="UTl2I2Cl4 (PBE, relaxed)" sg=C2/m e_form_raw_ev_per_atom=-1.222 total_energy_ev_per_cell=-37.5 pbc="T T T"
U 0.0000 0.0000 0.0000
Tl 2.7443 0.0000 5.9611
Tl 9.3786 0.0000 1.7076
I 1.6493 0.0000 2.5800
I 10.4736 0.0000 5.0887
Cl 5.1803 1.8236 0.9637
Cl 6.9426 1.8236 6.7050
Cl 5.1803 -1.8236 0.9637
Cl 6.9426 -1.8236 6.7050